(1)
A plane-wave DFT calculation with PBE with a Hubbard U was carried out for a relaxed structure of InMo2F.

```
InMo2F
1.0
0.0000 3.2146 3.2146
3.2146 0.0000 3.2146
3.2146 3.2146 0.0000
In Mo F
1 2 1
direct
0.0000 0.0000 0.0000 In
0.2500 0.2500 0.2500 Mo
0.7500 0.7500 0.7500 Mo
0.5000 0.5000 0.5000 F
```

The volume comes out at 16.6 Å³ per atom. Its crystal system is cubic. Its total energy is -3.568 eV per atom. As for the symmetry: Fm-3m, No. 225.


(2)
A plane-wave DFT calculation with PBE with a Hubbard U was carried out for a relaxed structure of InMoF4.

```
InMoF4
1.0
3.9294 -5.5907 0.0000
3.9294 5.5907 0.0000
-2.8230 0.0000 6.0673
In Mo F
2 2 8
direct
0.1179 0.8821 0.7500 In
0.8821 0.1179 0.2500 In
0.4999 0.5001 0.2500 Mo
0.5001 0.4999 0.7500 Mo
0.2069 0.2081 0.6054 F
0.2081 0.2069 0.1054 F
0.3784 0.6146 0.4980 F
0.3854 0.6216 0.0020 F
0.6146 0.3784 0.9980 F
0.6216 0.3854 0.5020 F
0.7919 0.7931 0.8946 F
0.7931 0.7919 0.3946 F
```

The volume comes out at 22.2 Å³ per atom. Its crystal system is monoclinic. Its total energy is -5.156 eV per atom. As for the symmetry: C2/c, No. 15.


(3)
A plane-wave DFT calculation with PBE with a Hubbard U was carried out for a relaxed structure of In3MoF6.

```
In3MoF6
1.0
5.5004 -3.1676 0.0000
5.5004 3.1676 0.0000
-3.6912 0.0000 6.2047
In Mo F
3 1 6
direct
0.0000 0.0000 0.0000 In
0.2087 0.2087 0.6278 In
0.7913 0.7913 0.3722 In
0.5000 0.5000 0.5000 Mo
0.2274 0.7251 0.6737 F
0.2749 0.7726 0.3263 F
0.2765 0.2765 0.3279 F
0.7235 0.7235 0.6721 F
0.7251 0.2274 0.6737 F
0.7726 0.2749 0.3263 F
```

The volume comes out at 21.6 Å³ per atom. Its crystal system is monoclinic. Its total energy is -4.680 eV per atom. As for the symmetry: C2/m, No. 12.


(4)
A plane-wave DFT calculation with PBE with a Hubbard U was carried out for a relaxed structure of In2MoF.

```
In2MoF
1.0
-3.7269 3.7269 3.2536
3.7269 -3.7269 3.2536
3.7269 3.7269 -3.2536
In Mo F
4 2 2
direct
0.0670 0.6250 0.9420 In
0.3750 0.3170 0.4420 In
0.6830 0.1250 0.0580 In
0.8750 0.9330 0.5580 In
0.2500 0.7500 0.5000 Mo
0.5000 0.5000 0.0000 Mo
0.0000 0.0000 0.0000 F
0.7500 0.2500 0.5000 F
```

The volume comes out at 22.6 Å³ per atom. Its crystal system is tetragonal. Its total energy is -3.734 eV per atom. As for the symmetry: I-42d, No. 122.


(5)
A plane-wave DFT calculation with PBE with a Hubbard U was carried out for a relaxed structure of InMo2F.

```
InMo2F
1.0
-2.8480 2.8480 6.5358
2.8480 -2.8480 6.5358
2.8480 2.8480 -6.5358
In Mo F
2 4 2
direct
0.0000 0.0000 0.0000 In
0.7500 0.2500 0.5000 In
0.2395 0.6250 0.1145 Mo
0.3750 0.4895 0.6145 Mo
0.5105 0.1250 0.8855 Mo
0.8750 0.7605 0.3855 Mo
0.2500 0.7500 0.5000 F
0.5000 0.5000 0.0000 F
```

The volume comes out at 26.5 Å³ per atom. Its crystal system is tetragonal. Its total energy is -4.117 eV per atom. As for the symmetry: I-42d, No. 122.


(6)
A plane-wave DFT calculation with PBE with a Hubbard U was carried out for a relaxed structure of InMo3F.

```
InMo3F
1.0
4.3369 0.0000 0.0000
0.0000 4.3369 0.0000
0.0000 0.0000 4.3369
In Mo F
1 3 1
direct
0.0000 0.0000 0.0000 In
0.0000 0.5000 0.5000 Mo
0.5000 0.0000 0.5000 Mo
0.5000 0.5000 0.0000 Mo
0.5000 0.5000 0.5000 F
```

The volume comes out at 16.3 Å³ per atom. Its crystal system is cubic. Its total energy is -4.004 eV per atom. As for the symmetry: Pm-3m, No. 221.


(7)
A plane-wave DFT calculation with PBE with a Hubbard U was carried out for a relaxed structure of In2MoF5.

```
In2MoF5
1.0
6.0677 0.0000 0.0000
-3.0284 7.3947 0.0000
-3.0320 -2.9751 6.8120
In Mo F
4 2 10
direct
0.1526 0.4906 0.3347 In
0.3269 0.0100 0.1644 In
0.6731 0.9900 0.8356 In
0.8474 0.5094 0.6653 In
0.0000 0.0000 0.5000 Mo
0.5000 0.5000 0.0000 Mo
0.1396 0.2500 0.7502 F
0.1777 0.8785 0.6829 F
0.2674 0.6394 0.9943 F
0.3647 0.1396 0.4928 F
0.3860 0.3786 0.1836 F
0.6140 0.6214 0.8164 F
0.6353 0.8604 0.5072 F
0.7326 0.3606 0.0057 F
0.8223 0.1215 0.3171 F
0.8604 0.7500 0.2498 F
```

The volume comes out at 19.1 Å³ per atom. Its crystal system is triclinic. Its total energy is -4.883 eV per atom. As for the symmetry: P-1, No. 2.


(8)
A plane-wave DFT calculation with PBE with a Hubbard U was carried out for a relaxed structure of In3MoF.

```
In3MoF
1.0
4.9887 0.0000 0.0000
0.0000 4.9887 0.0000
0.0000 0.0000 4.9887
In Mo F
3 1 1
direct
0.0000 0.0000 0.5000 In
0.0000 0.5000 0.0000 In
0.5000 0.0000 0.0000 In
0.5000 0.5000 0.5000 Mo
0.0000 0.0000 0.0000 F
```

The volume comes out at 24.8 Å³ per atom. Its crystal system is cubic. Its total energy is -3.498 eV per atom. As for the symmetry: Pm-3m, No. 221.